This record from Alexandria via LeMat-Bulk describes a relaxed KZn5 crystal. The functional is GGA-PBEsol.

Cell lengths 4.1649, 5.5185, 5.5185 Å; angles 120.00, 90.00, 90.00 degrees
Fractional positions:
Zn 0.5000 0.3333 0.6667
Zn 0.0000 0.5000 0.5000
Zn 0.0000 0.0000 0.5000
Zn 0.0000 0.5000 0.0000
K 0.5000 0.0000 0.0000
Zn 0.5000 0.6667 0.3333

Results
formation enthalpy at 0 K	0.050	eV per atom
symmetry	No. 191
uncorrected energy	-1.457	eV per atom
density	5.54	g/cm³